(P)
A relaxed structure of YErTlAu, computed with GGA-PBE.

a b c (Å): 5.223 5.223 5.223
angles (deg): 60.00 60.00 60.00
Fractional coordinates of all 4 atoms:
Er  0.250  0.250  0.250
Au  0.500  0.500  0.500
Tl  0.000  0.000  0.000
Y  0.750  0.750  0.750

As for the volume: 101 Å³ per cell. For the density of states at the Fermi level, the calculation gives 0.684 states/eV/atom. Its spin magnetization is 0.00 μB/f.u. As for the space-group type: No. 216.



(Q)
A relaxed structure of YErTlAu, computed with GGA-PBE.

a b c (Å): 3.618 3.618 7.670
angles (deg): 90.00 90.00 90.00
Fractional coordinates of all 4 atoms:
Er  0.500  0.500  0.584
Au  0.000  0.000  0.366
Y  0.500  0.500  0.124
Tl  0.000  0.000  0.853

As for the volume: 100 Å³ per cell. For the density of states at the Fermi level, the calculation gives 0.644 states/eV/atom. Its spin magnetization is 0.00 μB/f.u. As for the space-group type: No. 99.



Which of them is most stable, and which least? Most stable: (Q); least stable: (P).



(P)
A relaxed structure of ErTm2Au, computed with GGA-PBE.

a b c (Å): 3.523 3.523 8.646
angles (deg): 90.00 90.00 90.00
Fractional coordinates of all 4 atoms:
Er  0.500  0.500  0.500
Tm  0.000  0.000  0.794
Tm  0.000  0.000  0.206
Au  0.500  0.500  0.000

As for the volume: 107 Å³ per cell. For the density of states at the Fermi level, the calculation gives 1.312 states/eV/atom. Its spin magnetization is 0.00 μB/f.u. As for the space-group type: No. 123.



(Q)
A relaxed structure of ErTm2Au, computed with GGA-PBE.

a b c (Å): 3.634 3.634 10.059
angles (deg): 79.59 79.59 60.00
Fractional coordinates of all 4 atoms:
Er  0.500  0.500  0.500
Tm  0.263  0.263  0.211
Tm  0.737  0.737  0.789
Au  0.000  0.000  0.000

As for the volume: 113 Å³ per cell. For the density of states at the Fermi level, the calculation gives 1.244 states/eV/atom. Its spin magnetization is 0.00 μB/f.u. As for the space-group type: No. 166.



Which of them is most stable, and which least? Most stable: (P); least stable: (Q).



(P)
A relaxed structure of ErTm2Au, computed with GGA-PBE.

a b c (Å): 3.681 3.681 9.905
angles (deg): 79.29 79.29 60.00
Fractional coordinates of all 4 atoms:
Tm  0.070  0.070  0.791
Tm  0.264  0.264  0.209
Er  0.501  0.501  0.498
Au  0.666  0.666  0.002

As for the volume: 114 Å³ per cell. For the density of states at the Fermi level, the calculation gives 1.130 states/eV/atom. Its spin magnetization is 0.55 μB/f.u. As for the space-group type: No. 160.



(Q)
A relaxed structure of ErTm2Au, computed with GGA-PBE.

a b c (Å): 6.610 6.859 9.567
angles (deg): 90.00 90.00 90.00
Fractional coordinates of all 16 atoms:
Tm  0.698  0.801  0.946
Tm  0.802  0.301  0.554
Tm  0.802  0.301  0.946
Tm  0.302  0.199  0.054
Tm  0.302  0.199  0.446
Tm  0.698  0.801  0.554
Tm  0.198  0.699  0.054
Tm  0.198  0.699  0.446
Er  0.888  0.012  0.250
Er  0.612  0.512  0.250
Er  0.388  0.488  0.750
Er  0.112  0.988  0.750
Au  0.536  0.082  0.750
Au  0.464  0.918  0.250
Au  0.036  0.418  0.250
Au  0.964  0.582  0.750

As for the volume: 434 Å³ per cell. For the density of states at the Fermi level, the calculation gives 0.875 states/eV/atom. Its spin magnetization is 0.00 μB/f.u. As for the space-group type: No. 62.



(R)
A relaxed structure of ErTm2Au, computed with GGA-PBE.

a b c (Å): 4.839 6.303 7.821
angles (deg): 90.00 90.00 112.55
Fractional coordinates of all 8 atoms:
Au  0.207  0.414  0.250
Au  0.793  0.586  0.750
Er  0.044  0.087  0.750
Er  0.956  0.913  0.250
Tm  0.355  0.711  0.961
Tm  0.355  0.711  0.539
Tm  0.645  0.289  0.461
Tm  0.645  0.289  0.039

As for the volume: 220 Å³ per cell. For the density of states at the Fermi level, the calculation gives 1.171 states/eV/atom. Its spin magnetization is 0.00 μB/f.u. As for the space-group type: No. 63.



Which of them is most stable, and which least? Most stable: (Q); least stable: (P).



(P)
A relaxed structure of YEr2Au, computed with GGA-PBE.

a b c (Å): 6.630 6.946 9.684
angles (deg): 90.00 90.00 90.00
Fractional coordinates of all 16 atoms:
Y  0.884  0.011  0.250
Y  0.384  0.489  0.750
Y  0.116  0.989  0.750
Y  0.616  0.511  0.250
Er  0.694  0.804  0.945
Er  0.194  0.696  0.055
Er  0.806  0.304  0.555
Er  0.306  0.196  0.055
Er  0.694  0.804  0.555
Er  0.806  0.304  0.945
Er  0.194  0.696  0.445
Er  0.306  0.196  0.445
Au  0.956  0.587  0.750
Au  0.456  0.913  0.250
Au  0.044  0.413  0.250
Au  0.544  0.087  0.750

As for the volume: 446 Å³ per cell. For the density of states at the Fermi level, the calculation gives 0.995 states/eV/atom. Its spin magnetization is 0.00 μB/f.u. As for the space-group type: No. 62.



(Q)
A relaxed structure of YEr2Au, computed with GGA-PBE.

a b c (Å): 3.723 3.723 9.964
angles (deg): 79.23 79.23 60.00
Fractional coordinates of all 4 atoms:
Y  0.501  0.501  0.497
Au  0.666  0.666  0.002
Er  0.069  0.069  0.794
Er  0.264  0.264  0.207

As for the volume: 117 Å³ per cell. For the density of states at the Fermi level, the calculation gives 1.129 states/eV/atom. Its spin magnetization is 0.58 μB/f.u. As for the space-group type: No. 160.



Which of them is most stable, and which least? Most stable: (P); least stable: (Q).